Here is a geometry-optimized ZnGeRh2 structure from Alexandria via LeMat-Bulk. Energies are from PBE.

a = 5.675 Å, b = 5.675 Å, c = 5.675 Å
α = 57.15°, β = 151.61°, γ = 131.51°
Atoms (fractional coordinates):
Zn1 0.000 0.000 0.000
Ge1 0.000 0.500 0.500
Rh1 0.000 0.265 0.265
Rh2 0.000 0.735 0.735

Calculated values
VASP energy (eV/cell): -19.8
Crystal system: orthorhombic
DFT formation energy (eV/f.u.): 0.75